No. 1
The following is a DFT calculation (GGA-PBE) of a geometry-optimized AgI structure.

abc: 11.8566 11.8566 4.5227
angles: 90.00 90.00 90.00
With the nearest neighbours (Å) after each atom.
Positions (direct):
Ag (0.0812, 0.3981, 0.0000)  3 I 2.81-2.84, 1 Ag 3.09
Ag (0.1019, 0.5812, 0.5000)  3 I 2.81-2.84, 1 Ag 3.09
Ag (0.3981, 0.9188, 0.0000)  3 I 2.81-2.84, 1 Ag 3.09
Ag (0.4188, 0.1019, 0.5000)  3 I 2.81-2.84, 1 Ag 3.09
Ag (0.5812, 0.8981, 0.5000)  3 I 2.81-2.84, 1 Ag 3.09
Ag (0.6019, 0.0812, 0.0000)  3 I 2.81-2.84, 1 Ag 3.09
Ag (0.8981, 0.4188, 0.5000)  3 I 2.81-2.84, 1 Ag 3.09
Ag (0.9188, 0.6019, 0.0000)  3 I 2.81-2.84, 1 Ag 3.09
I (0.0674, 0.2536, 0.5000)  3 Ag 2.81-2.84
I (0.2464, 0.5674, 0.0000)  3 Ag 2.81-2.84
I (0.2536, 0.9326, 0.5000)  3 Ag 2.81-2.84
I (0.4326, 0.2464, 0.0000)  3 Ag 2.81-2.84
I (0.5674, 0.7536, 0.0000)  3 Ag 2.81-2.84
I (0.7464, 0.0674, 0.5000)  3 Ag 2.81-2.84
I (0.7536, 0.4326, 0.0000)  3 Ag 2.81-2.84
I (0.9326, 0.7464, 0.5000)  3 Ag 2.81-2.84

Calculated values
Its space group is I4/m (87). The spin magnetization comes out at 0.0000 μB per atom. Its uncorrected formation energy is -0.2166 eV/atom.



No. 2
The following is a DFT calculation (GGA-PBE) of a geometry-optimized Te2WBr structure.

abc: 3.7064 3.7064 28.1196
angles: 90.00 90.00 120.00
With the nearest neighbours (Å) after each atom.
Positions (direct):
Te (0.0000, 0.0000, 0.1045)  3 W 2.76, 1 Br 2.94
Te (0.0000, 0.0000, 0.8955)  3 W 2.76, 1 Br 2.94
Te (0.3333, 0.6667, 0.5622)  3 W 2.76, 1 Br 2.94
Te (0.3333, 0.6667, 0.7712)  3 W 2.76, 1 Br 2.94
Te (0.6667, 0.3333, 0.2288)  3 W 2.76, 1 Br 2.94
Te (0.6667, 0.3333, 0.4378)  3 W 2.76, 1 Br 2.94
W (0.0000, 0.0000, 0.5000)  6 Te 2.76
W (0.3333, 0.6667, 0.1667)  6 Te 2.76
W (0.6667, 0.3333, 0.8333)  6 Te 2.76
Br (0.0000, 0.0000, 0.0000)  2 Te 2.94
Br (0.3333, 0.6667, 0.6667)  2 Te 2.94
Br (0.6667, 0.3333, 0.3333)  2 Te 2.94

Calculated values
Its space group is R-3m (166). The spin magnetization comes out at 0.0000 μB per atom. The density of states at the Fermi level is 3.62 states/eV/f.u. Its uncorrected formation energy is 0.1733 eV/atom. The energy above the most stable polymorph in this dataset comes out at 102 meV per atom.



No. 3
The following is a DFT calculation (GGA-PBE) of a geometry-optimized SrGe2As2 structure.

abc: 5.1512 5.1512 9.0065
angles: 90.00 90.00 90.00
With the nearest neighbours (Å) after each atom.
Positions (direct):
Sr (0.0000, 0.0000, 0.0000)  2 Ge 3.16, 8 As 3.42
Sr (0.5000, 0.5000, 0.5000)  2 Ge 3.16, 8 As 3.42
Ge (0.0000, 0.0000, 0.3507)  1 Ge 2.69, 4 As 2.73
Ge (0.0000, 0.0000, 0.6493)  1 Ge 2.69, 4 As 2.73
Ge (0.5000, 0.5000, 0.1493)  1 Ge 2.69, 4 As 2.73
Ge (0.5000, 0.5000, 0.8507)  1 Ge 2.69, 4 As 2.73
As (0.0000, 0.5000, 0.2500)  4 Ge 2.73
As (0.0000, 0.5000, 0.7500)  4 Ge 2.73
As (0.5000, 0.0000, 0.2500)  4 Ge 2.73
As (0.5000, 0.0000, 0.7500)  4 Ge 2.73

Calculated values
Its space group is I4/mmm (139). The spin magnetization comes out at 0.0000 μB per atom. The calculation puts the energy relative to the elements at -324 meV/atom. The density of states at the Fermi level is 2.13 states/eV/f.u.



No. 4
The following is a DFT calculation (GGA-PBE) of a geometry-optimized BRuF2 structure.

abc: 5.2179 5.2179 5.2179
angles: 60.00 60.00 60.00
With the nearest neighbours (Å) after each atom.
Positions (direct):
B (0.1250, 0.1250, 0.1250)  4 F 1.60
B (0.8750, 0.8750, 0.8750)  4 F 1.60
Ru (0.3750, 0.3750, 0.3750)  12 F 3.06, 4 Ru 3.20, 4 B 3.20
Ru (0.6250, 0.6250, 0.6250)  12 F 3.06, 4 B 3.20, 4 Ru 3.20
F (0.0000, 0.0000, 0.0000)  2 B 1.60
F (0.0000, 0.0000, 0.5000)  2 B 1.60
F (0.0000, 0.5000, 0.0000)  2 B 1.60
F (0.5000, 0.0000, 0.0000)  2 B 1.60

Calculated values
Its space group is Fd-3m (227). The spin magnetization comes out at 0.5081 μB per atom. The density of states at the Fermi level is 1.09 states/eV/f.u. Its uncorrected formation energy is 0.4826 eV/atom. The energy above the most stable polymorph in this dataset comes out at 875 meV per atom.



No. 5
The following is a DFT calculation (GGA-PBE) of a geometry-optimized Zr2AgSn structure.

abc: 4.4302 4.4302 4.3135
angles: 90.00 90.00 90.00
With the nearest neighbours (Å) after each atom.
Positions (direct):
Zr (0.0000, 0.5000, 0.0000)  4 Sn 3.09, 4 Ag 3.09, 4 Zr 3.13
Zr (0.5000, 0.0000, 0.0000)  4 Sn 3.09, 4 Ag 3.09, 4 Zr 3.13
Ag (0.0000, 0.0000, 0.5000)  8 Zr 3.09, 4 Sn 3.13
Sn (0.5000, 0.5000, 0.5000)  8 Zr 3.09, 4 Ag 3.13

Calculated values
Its space group is P4/mmm (123). The spin magnetization comes out at 0.0000 μB per atom. The calculation puts the energy relative to the elements at -298 meV/atom. The density of states at the Fermi level is 3.08 states/eV/f.u.



No. 6
The following is a DFT calculation (GGA-PBE) of a geometry-optimized LiY2Be2O6 structure.

abc: 6.0262 6.0262 6.0262
angles: 51.05 51.05 51.05
With the nearest neighbours (Å) after each atom.
Positions (direct):
Li (0.0000, 0.0000, 0.0000)  6 O 2.08
Y (0.2060, 0.2060, 0.2060)  3 O 2.31
Y (0.7940, 0.7940, 0.7940)  3 O 2.31
Be (0.4237, 0.4237, 0.4237)  3 O 1.52
Be (0.5763, 0.5763, 0.5763)  3 O 1.52
O (0.2372, 0.7423, 0.7423)  1 Be 1.52
O (0.2577, 0.2577, 0.7628)  1 Be 1.52
O (0.2577, 0.7628, 0.2577)  1 Be 1.52
O (0.7423, 0.2372, 0.7423)  1 Be 1.52
O (0.7423, 0.7423, 0.2372)  1 Be 1.52
O (0.7628, 0.2577, 0.2577)  1 Be 1.52

Calculated values
Its space group is R-3m (166). The spin magnetization comes out at 0.0729 μB per atom. The density of states at the Fermi level is 8.62 states/eV/f.u. Its uncorrected formation energy is -2.4458 eV/atom.